# 1
The following is a DFT calculation (GGA-PBE) of LiLaRu2 after structural relaxation.

```
LiLaRu2
1.0
2.903 0.000 0.000
0.000 4.116 0.000
0.000 0.000 6.071
Ru Li La
2 1 1
Direct
0.000 0.000 0.554 Ru
0.000 0.000 0.946 Ru
0.500 0.500 0.750 Li
0.500 0.500 0.250 La
```

Computed properties:
The volume comes out at 72.5 Å³/cell. The density of states at the Fermi level comes out at 1.416 states/eV per atom. For the relative energy among the computed polymorphs, the calculation gives 0.291 eV per atom.


# 2
The following is a DFT calculation (GGA-PBE) of AsIrWN2 after structural relaxation.

```
AsIrWN2
1.0
-1.178 -0.773 -3.392
-2.797 -4.237 1.937
-2.920 2.166 0.521
N As Ir W
2 1 1 1
Direct
0.000 0.000 0.500 N
0.500 0.000 0.000 N
0.000 0.000 0.000 As
0.500 0.500 0.500 Ir
0.000 0.500 0.000 W
```

Computed properties:
The volume comes out at 73.3 Å³/cell. The density of states at the Fermi level comes out at 0.924 states/eV per atom. As for the formation energy from raw total energies: 189.3 kJ per mole of atoms.


# 3
The following is a DFT calculation (GGA-PBE) of Sm2Si3Pd2 after structural relaxation.

```
Sm2Si3Pd2
1.0
-0.808 -1.260 3.983
-3.690 -2.129 -3.695
5.620 -3.228 0.119
Si Pd Sm
3 2 2
Direct
0.402 0.803 0.564 Si
0.500 0.000 0.000 Si
0.598 0.197 0.436 Si
0.859 0.719 0.745 Pd
0.141 0.281 0.255 Pd
0.847 0.694 0.221 Sm
0.153 0.306 0.779 Sm
```

Computed properties:
The volume comes out at 130.5 Å³/cell. The density of states at the Fermi level comes out at 0.399 states/eV per atom. For the relative energy among the computed polymorphs, the calculation gives 0.156 eV per atom. As for the formation energy from raw total energies: -71.4 kJ per mole of atoms.